Entry 1:
Computed, not measured: MgV2MoO8 after structural relaxation at the PBE with a Hubbard U level of DFT.

Cell lengths 5.7448, 5.7448, 5.6718 Å; angles 90.00, 90.00, 120.00 degrees
Space group P-3m1 (No. 164)
Inequivalent atoms, fractional coordinates:
1 Mg 0.0000 0.0000 0.0000 x1
2 V 0.3333 0.6667 0.6658 x2
3 Mo 0.0000 0.0000 0.5000 x1
4 O 0.1567 0.3134 0.7433 x6
5 O 0.3333 0.6667 0.3803 x2

Values from the calculation:
**Raw total energy**: -85.5 eV per cell



Entry 2:
Computed, not measured: MgZrMoO6 after structural relaxation at the PBE with a Hubbard U level of DFT.

Cell lengths 4.8168, 4.8168, 9.3699 Å; angles 90.00, 90.00, 90.00 degrees
Space group P4_2nm (No. 102)
Inequivalent atoms, fractional coordinates:
1 Mg 0.0000 0.0000 0.0000 x2
2 Zr 0.0000 0.0000 0.6683 x2
3 Mo 0.0000 0.0000 0.3327 x2
4 O 0.1907 0.1907 0.1773 x4
5 O 0.1909 0.1909 0.4852 x4
6 O 0.2116 0.2116 0.8305 x4

Values from the calculation:
**Raw total energy**: -137.1 eV per cell